Here is Tl2CoO4 after structural relaxation from OQMD. Energies are from PBE+U.

Summary:
- VASP energy: -4.948 eV/atom
- Symmetry: No. 227
- Total magnetic moment: 3.0 μB/f.u.

abc: 6.531 6.531 6.531
angles: 119.99 90.01 119.99
Fractional positions:
1 O 0.624 0.248 0.376
2 O 0.624 0.752 0.376
3 O 0.128 0.752 0.376
4 Tl 0.375 0.750 0.625
5 O 0.126 0.252 0.378
6 Co 0.750 0.500 0.250
7 Co 0.000 0.000 0.000
8 Tl 0.375 0.750 0.125
9 Tl 0.875 0.250 0.625
10 O 0.624 0.248 0.872
11 O 0.622 0.748 0.874
12 O 0.126 0.252 0.874
13 Tl 0.375 0.250 0.625
14 O 0.126 0.748 0.874